Record 1
! Pr2SmY7 (PBE-GGA, relaxed); values from VASP
! crystal system: orthorhombic
! volume: 34.029 Å³ per atom
! total moment: 0.00 μB/f.u.
! energy relative to the lowest polymorph listed for this composition: 144 meV per atom
! energy relative to the elements: 0.162 eV per atom
&SYSTEM
  ibrav = 0, nat = 10, ntyp = 3
/
ATOMIC_SPECIES
Pr 140.91 Pr.upf
Sm 150.36 Sm.upf
Y 88.91 Y.upf
CELL_PARAMETERS angstrom
3.292 -14.608 0.000
3.292 14.608 0.000
0.000 0.000 3.537
ATOMIC_POSITIONS crystal
Pr 0.207 0.793 0.000
Pr 0.793 0.207 0.000
Sm 0.500 0.500 0.500
Y 0.000 0.000 0.000
Y 0.155 0.352 0.000
Y 0.314 0.686 0.500
Y 0.352 0.155 0.000
Y 0.648 0.845 0.000
Y 0.686 0.314 0.500
Y 0.845 0.648 0.000

Record 2
! Pr3SmY2 (PBE-GGA, relaxed); values from VASP
! crystal system: monoclinic
! volume: 34.490 Å³ per atom
! total moment: 0.00 μB/f.u.
! energy relative to the lowest polymorph listed for this composition: 0 meV per atom
! energy relative to the elements: 0.015 eV per atom
&SYSTEM
  ibrav = 0, nat = 12, ntyp = 3
/
ATOMIC_SPECIES
Pr 140.91 Pr.upf
Sm 150.36 Sm.upf
Y 88.91 Y.upf
CELL_PARAMETERS angstrom
8.960 -3.655 0.000
8.960 3.655 0.000
-0.029 0.000 6.319
ATOMIC_POSITIONS crystal
Pr 0.125 0.875 0.750
Pr 0.208 0.458 0.582
Pr 0.458 0.208 0.082
Pr 0.542 0.792 0.918
Pr 0.792 0.542 0.418
Pr 0.875 0.125 0.250
Sm 0.375 0.625 0.250
Sm 0.625 0.375 0.750
Y 0.042 0.292 0.917
Y 0.292 0.042 0.417
Y 0.708 0.958 0.583
Y 0.958 0.708 0.083

Record 3
! PrSm2Y (PBE-GGA, relaxed); values from VASP
! crystal system: trigonal
! volume: 34.140 Å³ per atom
! total moment: 0.00 μB/f.u.
! energy relative to the lowest polymorph listed for this composition: 0 meV per atom
! energy relative to the elements: 0.009 eV per atom
&SYSTEM
  ibrav = 0, nat = 12, ntyp = 3
/
ATOMIC_SPECIES
Pr 140.91 Pr.upf
Sm 150.36 Sm.upf
Y 88.91 Y.upf
CELL_PARAMETERS angstrom
3.660 0.000 0.000
-1.830 3.169 0.000
0.000 0.000 35.319
ATOMIC_POSITIONS crystal
Pr 0.000 0.000 0.000
Pr 0.333 0.667 0.667
Pr 0.667 0.333 0.333
Sm 0.000 0.000 0.418
Sm 0.000 0.000 0.581
Sm 0.333 0.667 0.084
Sm 0.333 0.667 0.248
Sm 0.667 0.333 0.751
Sm 0.667 0.333 0.915
Y 0.000 0.000 0.833
Y 0.333 0.667 0.500
Y 0.667 0.333 0.167

Record 4
! Pr2Sm3Y5 (PBE-GGA, relaxed); values from VASP
! crystal system: orthorhombic
! volume: 35.998 Å³ per atom
! total moment: 0.00 μB/f.u.
! energy relative to the lowest polymorph listed for this composition: 223 meV per atom
! energy relative to the elements: 0.396 eV per atom
&SYSTEM
  ibrav = 0, nat = 20, ntyp = 3
/
ATOMIC_SPECIES
Pr 140.91 Pr.upf
Sm 150.36 Sm.upf
Y 88.91 Y.upf
CELL_PARAMETERS angstrom
-4.725 11.028 3.454
4.725 -11.028 3.454
4.725 11.028 -3.454
ATOMIC_POSITIONS crystal
Pr 0.121 0.103 0.224
Pr 0.379 0.603 0.982
Pr 0.621 0.397 0.018
Pr 0.879 0.897 0.776
Sm 0.127 0.748 0.875
Sm 0.250 0.250 0.000
Sm 0.373 0.248 0.621
Sm 0.627 0.752 0.379
Sm 0.750 0.750 0.000
Sm 0.873 0.252 0.125
Y 0.002 0.250 0.752
Y 0.128 0.412 0.540
Y 0.250 0.750 0.500
Y 0.372 0.912 0.285
Y 0.498 0.250 0.248
Y 0.502 0.750 0.752
Y 0.628 0.088 0.715
Y 0.750 0.250 0.500
Y 0.872 0.588 0.460
Y 0.998 0.750 0.248

Record 5
! Pr7SmY4 (PBE-GGA, relaxed); values from VASP
! crystal system: monoclinic
! volume: 35.269 Å³ per atom
! total moment: 0.26 μB/f.u.
! energy relative to the lowest polymorph listed for this composition: 0 meV per atom
! energy relative to the elements: 0.133 eV per atom
&SYSTEM
  ibrav = 0, nat = 12, ntyp = 3
/
ATOMIC_SPECIES
Pr 140.91 Pr.upf
Sm 150.36 Sm.upf
Y 88.91 Y.upf
CELL_PARAMETERS angstrom
9.467 -3.649 0.000
9.467 3.649 0.000
-0.076 0.000 6.125
ATOMIC_POSITIONS crystal
Pr 0.000 0.000 0.000
Pr 0.188 0.188 0.251
Pr 0.291 0.291 0.756
Pr 0.465 0.465 0.748
Pr 0.535 0.535 0.252
Pr 0.709 0.709 0.244
Pr 0.812 0.812 0.749
Sm 0.000 0.000 0.500
Y 0.132 0.593 0.255
Y 0.407 0.868 0.745
Y 0.593 0.132 0.255
Y 0.868 0.407 0.745

Record 6
! Pr10SmY6 (PBE-GGA, relaxed); values from VASP
! crystal system: trigonal
! volume: 35.326 Å³ per atom
! total moment: 0.00 μB/f.u.
! energy relative to the elements: 0.131 eV per atom
&SYSTEM
  ibrav = 0, nat = 17, ntyp = 3
/
ATOMIC_SPECIES
Pr 140.91 Pr.upf
Sm 150.36 Sm.upf
Y 88.91 Y.upf
CELL_PARAMETERS angstrom
9.961 0.000 0.000
-4.981 8.627 0.000
0.000 0.000 6.988
ATOMIC_POSITIONS crystal
Pr 0.000 0.276 0.179
Pr 0.000 0.724 0.821
Pr 0.276 0.000 0.179
Pr 0.276 0.276 0.821
Pr 0.333 0.667 0.000
Pr 0.333 0.667 0.500
Pr 0.667 0.333 0.000
Pr 0.667 0.333 0.500
Pr 0.724 0.000 0.821
Pr 0.724 0.724 0.179
Sm 0.000 0.000 0.500
Y 0.000 0.367 0.685
Y 0.000 0.633 0.315
Y 0.367 0.000 0.685
Y 0.367 0.367 0.315
Y 0.633 0.000 0.315
Y 0.633 0.633 0.685